# TcAgCl

TcAgCl after structural relaxation (PBE-GGA, Alexandria).

a = 3.020 Å, b = 3.020 Å, c = 6.927 Å
α = 90.00°, β = 90.00°, γ = 120.00°
Atoms (fractional coordinates):
Tc 0.000 0.000 0.000
Ag 0.667 0.333 0.324
Cl 0.333 0.667 0.763

Values from the calculation:
VASP energy = -14.1 eV for the cell shown
E_form (uncorrected) = 0.332 eV/atom
Space group = P3m1 (156)
Magnetic moment = 0.00 Bohr magnetons per cell
Density of states at the Fermi level = 2.8 states/eV/f.u.



# SrB3H

SrB3H after structural relaxation (PBE-GGA, Alexandria).

a = 3.908 Å, b = 3.908 Å, c = 3.908 Å
α = 90.00°, β = 90.00°, γ = 90.00°
Atoms (fractional coordinates):
Sr 0.000 0.000 0.000
B 0.000 0.500 0.500
B 0.500 0.000 0.500
B 0.500 0.500 0.000
H 0.500 0.500 0.500

Values from the calculation:
VASP energy = -16.4 eV for the cell shown
Space group = Pm-3m (221)
Magnetic moment = 0.00 Bohr magnetons per cell
Density of states at the Fermi level = 3.4 states/eV/f.u.



# La2TmTe3

La2TmTe3 after structural relaxation (PBE-GGA, Alexandria).

a = 14.736 Å, b = 14.055 Å, c = 7.804 Å
α = 79.15°, β = 69.51°, γ = 31.34°
Atoms (fractional coordinates):
La 0.045 0.045 0.205
La 0.123 0.123 0.627
La 0.205 0.205 0.045
La 0.373 0.373 0.877
La 0.627 0.627 0.123
La 0.795 0.795 0.955
La 0.877 0.877 0.373
La 0.955 0.955 0.795
Tm 0.292 0.292 0.458
Tm 0.458 0.458 0.292
Tm 0.542 0.542 0.708
Tm 0.708 0.708 0.542
Te 0.038 0.539 0.228
Te 0.144 0.606 0.606
Te 0.228 0.696 0.038
Te 0.304 0.772 0.461
Te 0.394 0.856 0.856
Te 0.461 0.962 0.304
Te 0.539 0.038 0.696
Te 0.606 0.144 0.144
Te 0.696 0.228 0.539
Te 0.772 0.304 0.962
Te 0.856 0.394 0.394
Te 0.962 0.461 0.772

Values from the calculation:
VASP energy = -130.0 eV for the cell shown
E_form (uncorrected) = -1.456 eV/atom
Space group = Fddd (70)
Magnetic moment = 0.00 Bohr magnetons per cell
Density of states at the Fermi level = 4.1 states/eV/f.u.